Entry from the Open Quantum Materials Database: a relaxed CoP4H10O16 crystal (PBE with a Hubbard U).

```
31
Lattice="-2.2133 -0.0239 -7.5275 1.5398 -4.9104 0.2734 -6.1607 -1.4253 3.1601" Properties=species:S:1:pos:R:3 pbc="T T T"
Co -3.4171 -3.1798 -2.0470
H -0.5725 -0.5985 -0.8389
H -0.6531 -2.7021 -1.3784
H -2.0958 -1.0288 -3.3948
H -3.9372 -1.8819 -5.7243
H -2.9025 -4.8424 -4.2352
H -3.9317 -1.5172 0.1413
H -2.8969 -4.4777 1.6304
H -4.7384 -5.3308 -0.6991
H -6.1810 -3.6575 -2.7155
H -6.2616 -5.7611 -3.2550
O 0.1020 -1.9315 -1.5437
O -1.7380 -1.1284 -4.3610
O 0.3212 -4.8230 -0.2177
O -3.1506 -2.3649 -6.1091
O -1.6135 -3.6280 -1.1884
O -2.5107 -3.5134 -3.9278
O -2.7632 -1.1828 -2.0757
O -4.8036 -0.9218 -4.5924
O -2.0305 -5.4378 0.4985
O -4.0709 -5.1768 -2.0183
O -4.3234 -2.8462 -0.1661
O -5.2206 -2.7316 -2.9054
O -3.6835 -3.9947 2.0152
O -7.1553 -1.5366 -3.8762
O -5.0962 -5.2312 0.2671
O -6.9362 -4.4281 -2.5503
P -2.0522 -2.5162 -4.9896
P -1.1434 -5.0137 -0.7299
P -5.6907 -1.3459 -3.3641
P -4.7820 -3.8434 0.8956
```

Results
Symmetry: P-1 (2)
Total magnetic moment (Bohr magnetons per cell): 3.00
E (eV/atom): -6.06